# PBE IrAu2C, relaxed
data_IrAu2C
_cell_length_a 5.3875
_cell_length_b 5.3875
_cell_length_c 10.4383
_cell_angle_alpha 90.00
_cell_angle_beta 90.00
_cell_angle_gamma 90.00
_symmetry_space_group_name_H-M 'I -4 2 d'
_symmetry_Int_Tables_number 122
_symmetry_space_group_name_Hall 'I -4 2bw'
loop_
_atom_site_label
_atom_site_fract_x
_atom_site_fract_y
_atom_site_fract_z
_atom_site_occupancy
Ir1 0.0000 0.0000 0.0000 1
Au1 0.1582 0.2500 0.6250 1
C1 0.0000 0.0000 0.5000 1
# Total energy: -17.84 eV/f.u.
# N(E_F): 1.169 states/eV/atom
# Energy relative to the elements: 1698.7 meV/atom